1.
An optimized crystal structure of LaPr2Au, computed with PBE-GGA.

DOS at the Fermi energy   1.053 states/eV per atom
E above lowest polymorph   0.0 meV/atom
Calculated formation energy   -0.39 eV per atom

Lattice parameters (Å, degrees): 7.289 10.476 6.820 90.00 90.00 90.00
Positions (direct):
La  0.015  0.250  0.136
La  0.485  0.750  0.636
La  0.515  0.250  0.364
La  0.985  0.750  0.864
Pr  0.192  0.053  0.670
Pr  0.192  0.447  0.670
Pr  0.308  0.553  0.170
Pr  0.308  0.947  0.170
Pr  0.692  0.053  0.830
Pr  0.692  0.447  0.830
Pr  0.808  0.553  0.330
Pr  0.808  0.947  0.330
Au  0.108  0.750  0.427
Au  0.392  0.250  0.927
Au  0.608  0.750  0.073
Au  0.892  0.250  0.573

=====

2.
An optimized crystal structure of Na2HgC, computed with PBE-GGA.

DOS at the Fermi energy   0.094 states/eV per atom
E above lowest polymorph   0.0 meV/atom
Calculated formation energy   0.69 eV per atom

Lattice parameters (Å, degrees): 7.623 7.623 7.623 94.19 94.19 148.63
Positions (direct):
Na  0.375  0.130  0.255
Na  0.870  0.125  0.245
Na  0.875  0.120  0.745
Na  0.880  0.625  0.755
Hg  0.250  0.750  0.500
Hg  0.500  0.500  0.000
C  0.000  0.000  0.000
C  0.750  0.250  0.500

=====

3.
An optimized crystal structure of TmCd2Pd5, computed with PBE-GGA.

DOS at the Fermi energy   0.354 states/eV per atom
Calculated formation energy   -0.63 eV per atom

Lattice parameters (Å, degrees): 8.424 8.424 8.424 151.12 151.12 41.30
Positions (direct):
Tm  0.000  0.000  0.000
Cd  0.252  0.252  0.000
Cd  0.748  0.748  0.000
Pd  0.126  0.626  0.500
Pd  0.374  0.874  0.500
Pd  0.500  0.500  0.000
Pd  0.626  0.126  0.500
Pd  0.874  0.374  0.500

=====

4.
An optimized crystal structure of La3GaTe2, computed with PBE-GGA.

DOS at the Fermi energy   0.747 states/eV per atom
E_form (uncorrected)   -1.245 eV/atom

Lattice parameters (Å, degrees): 15.002 14.304 7.908 79.28 69.53 31.19
Positions (direct):
La  0.040  0.539  0.197
La  0.110  0.640  0.640
La  0.197  0.725  0.040
La  0.275  0.803  0.461
La  0.360  0.890  0.890
La  0.461  0.960  0.275
La  0.539  0.040  0.725
La  0.640  0.110  0.110
La  0.725  0.197  0.539
La  0.803  0.275  0.960
La  0.890  0.360  0.360
La  0.960  0.461  0.803
Ga  0.041  0.041  0.209
Ga  0.209  0.209  0.041
Ga  0.791  0.791  0.959
Ga  0.959  0.959  0.791
Te  0.127  0.127  0.623
Te  0.294  0.294  0.456
Te  0.377  0.377  0.873
Te  0.456  0.456  0.294
Te  0.544  0.544  0.706
Te  0.623  0.623  0.127
Te  0.706  0.706  0.544
Te  0.873  0.873  0.377

=====

Question: The lowest DOS at the Fermi energy belongs to which entry?
Answer: Na2HgC

=====

Question: The lowest DOS at the Fermi energy belongs to which entry?
Answer: Na2HgC

=====

Question: Which value of DOS at the Fermi energy does entry 3 give?
Answer: 0.354 states/eV per atom

=====

Copy entry 2 word for word.
An optimized crystal structure of Na2HgC, computed with PBE-GGA.

DOS at the Fermi energy   0.094 states/eV per atom
E above lowest polymorph   0.0 meV/atom
Calculated formation energy   0.69 eV per atom

Lattice parameters (Å, degrees): 7.623 7.623 7.623 94.19 94.19 148.63
Positions (direct):
Na  0.375  0.130  0.255
Na  0.870  0.125  0.245
Na  0.875  0.120  0.745
Na  0.880  0.625  0.755
Hg  0.250  0.750  0.500
Hg  0.500  0.500  0.000
C  0.000  0.000  0.000
C  0.750  0.250  0.500